# InFeCu2

An optimized crystal structure of InFeCu2 (PBE-GGA, Alexandria via LeMat-Bulk).

## Properties
Energy (eV per formula unit): -18.61
Total moment (μB/atom): 0.71
Crystal system: tetragonal
Calculated formation energy (eV/atom): 0.196

abc: 4.515 4.515 4.515
angles: 126.34 126.34 79.33
Last column: magnetic moment on the atom in μB.
Atoms (fractional coordinates):
Cu: 0.500 0.500 0.000  0.04
Cu: 0.000 0.000 0.000  0.04
In: 0.750 0.250 0.500  -0.03
Fe: 0.250 0.750 0.500  2.73

=====

# CsKCdIn

An optimized crystal structure of CsKCdIn (PBE-GGA, Alexandria via LeMat-Bulk).

## Properties
Energy (eV per formula unit): -5.35
Total moment (μB/atom): 0.00
Crystal system: cubic
Calculated formation energy (eV/atom): 0.064

abc: 6.036 6.036 6.036
angles: 60.00 60.00 60.00
Atoms (fractional coordinates):
In: 0.000 0.000 0.000
K: 0.250 0.250 0.250
Cd: 0.750 0.750 0.750
Cs: 0.500 0.500 0.500

=====

# K2DyInBr6

An optimized crystal structure of K2DyInBr6 (PBE-GGA, Alexandria via LeMat-Bulk).

## Properties
Energy (eV per formula unit): -35.56
Total moment (μB/atom): 0.00
Crystal system: trigonal
Formation energy without anion corrections (eV/atom): -1.60

abc: 8.087 8.088 8.414
angles: 61.26 61.25 59.97
Atoms (fractional coordinates):
Br: 0.118 0.432 0.780
Br: 0.562 0.207 0.247
Br: 0.432 0.670 0.780
Br: 0.207 0.984 0.247
Br: 0.671 0.118 0.780
Br: 0.984 0.562 0.246
Dy: 0.324 0.324 0.029
K: 0.020 0.020 0.941
K: 0.531 0.531 0.408
In: 0.814 0.814 0.559

=====

The lowest energy belongs to which entry?
K2DyInBr6

=====

energy of number 2 (CsKCdIn)?
-5.35 eV per formula unit

=====

Among the records above, which one has the highest total moment?
InFeCu2